Material: YTmTe2
Method: DFT, GGA-PBEsol
State: relaxed

Calculated density (g cm⁻³): 7.750
E (eV per cell): -24.0
Uncorrected formation energy (eV/atom): -1.296
Density of states at the Fermi level (states/eV/f.u.): 2.2

Structure (CIF):
```
data_YTmTe2
_chemical_formula_sum 'Y1 Tm1 Te2'
_symmetry_space_group_name_H-M 'P 4/m m m'
_symmetry_Int_Tables_number 123
_symmetry_space_group_name_Hall '-P 4 2'
_cell_length_a 4.265
_cell_length_b 4.265
_cell_length_c 6.042
_cell_angle_alpha 90.00
_cell_angle_beta 90.00
_cell_angle_gamma 90.00
loop_
_atom_site_label
_atom_site_type_symbol
_atom_site_fract_x
_atom_site_fract_y
_atom_site_fract_z
_atom_site_occupancy
Y1 Y 0.000 0.000 0.000 1
Tm1 Tm 0.500 0.500 0.500 1
Te1 Te 0.000 0.000 0.500 1
Te2 Te 0.500 0.500 0.000 1
```